The following is a GGA-PBE calculation of a geometry-optimized LiLa2SmTl4 structure, from Alexandria.

Calculated values
As for the volume: 698.3 Å³/cell. The formation energy is -0.376 eV per atom. As for the density of states at the Fermi level: 6.05 states/eV/f.u. As for the crystal system: trigonal. The calculation puts the total magnetic moment at 0.00 μB/f.u.

Unit cell a=5.4079 b=5.4079 c=27.5732 alpha=90.00 beta=90.00 gamma=120.00
Space group R-3m (No. 166, hexagonal axes)
One atom of each set of equivalent atoms:
1 Li 0.0000 0.0000 0.0000 (multiplicity 3)
2 La 0.0000 0.0000 0.2563 (multiplicity 6)
3 Sm 0.0000 0.0000 0.5000 (multiplicity 3)
4 Tl 0.0000 0.0000 0.1245 (multiplicity 6)
5 Tl 0.0000 0.0000 0.3739 (multiplicity 6)